[1]
Entry from the Alexandria database: a relaxed structure of Cs4Ac3HfSe8 (GGA-PBE). Values from VASP.

Geometry as Quantum ESPRESSO input:
```
&SYSTEM
  ibrav = 0, nat = 16, ntyp = 4
/
ATOMIC_SPECIES
Cs 132.91 Cs.upf
Ac 227.00 Ac.upf
Hf 178.49 Hf.upf
Se 78.96 Se.upf
CELL_PARAMETERS angstrom
4.4654 2.5781 8.4310
-4.4654 2.5781 8.4310
0.0000 -5.1562 8.4310
ATOMIC_POSITIONS crystal
Cs 0.0000 0.0000 0.0000
Cs 0.0000 0.5000 0.5000
Cs 0.5000 0.0000 0.5000
Cs 0.5000 0.5000 0.0000
Ac 0.0000 0.0000 0.5000
Ac 0.0000 0.5000 0.0000
Ac 0.5000 0.0000 0.0000
Hf 0.5000 0.5000 0.5000
Se 0.2351 0.2351 0.2351
Se 0.2641 0.7111 0.7111
Se 0.2889 0.2889 0.7359
Se 0.2889 0.7359 0.2889
Se 0.7111 0.2641 0.7111
Se 0.7111 0.7111 0.2641
Se 0.7359 0.2889 0.2889
Se 0.7649 0.7649 0.7649
```

Values from the calculation:
SG	No. 166
calculated total energy	-79.36	eV/cell
uncorrected formation energy	-1.61	eV/atom

[2]
Entry from the Alexandria database: a relaxed structure of CsAc2Hg (GGA-PBE). Values from VASP.

Geometry as Quantum ESPRESSO input:
```
&SYSTEM
  ibrav = 0, nat = 12, ntyp = 3
/
ATOMIC_SPECIES
Cs 132.91 Cs.upf
Ac 227.00 Ac.upf
Hg 200.59 Hg.upf
CELL_PARAMETERS angstrom
4.1624 0.0000 0.0000
-2.0812 3.6047 0.0000
0.0000 0.0000 39.0969
ATOMIC_POSITIONS crystal
Cs 0.0000 0.0000 0.0000
Cs 0.3333 0.6667 0.6667
Cs 0.6667 0.3333 0.3333
Ac 0.0000 0.0000 0.1067
Ac 0.0000 0.0000 0.8933
Ac 0.3333 0.6667 0.5600
Ac 0.3333 0.6667 0.7733
Ac 0.6667 0.3333 0.2267
Ac 0.6667 0.3333 0.4400
Hg 0.0000 0.0000 0.5000
Hg 0.3333 0.6667 0.1667
Hg 0.6667 0.3333 0.8333
```

Values from the calculation:
energy relative to the elements	50	meV/atom
SG	No. 166
calculated total energy	-27.52	eV/cell

[3]
Entry from the Alexandria database: a relaxed structure of CsAcHg3 (GGA-PBE). Values from VASP.

Geometry as Quantum ESPRESSO input:
```
&SYSTEM
  ibrav = 0, nat = 5, ntyp = 3
/
ATOMIC_SPECIES
Cs 132.91 Cs.upf
Ac 227.00 Ac.upf
Hg 200.59 Hg.upf
CELL_PARAMETERS angstrom
6.4063 0.0000 0.0000
0.0000 6.4063 0.0000
0.0000 0.0000 6.4063
ATOMIC_POSITIONS crystal
Cs 0.0000 0.0000 0.0000
Ac 0.5000 0.5000 0.5000
Hg 0.0000 0.5000 0.5000
Hg 0.5000 0.0000 0.5000
Hg 0.5000 0.5000 0.0000
```

Values from the calculation:
energy relative to the elements	-26	meV/atom
SG	No. 221
calculated total energy	-6.00	eV/cell

[4]
Entry from the Alexandria database: a relaxed structure of Cs2AcHg10 (GGA-PBE). Values from VASP.

Geometry as Quantum ESPRESSO input:
```
&SYSTEM
  ibrav = 0, nat = 26, ntyp = 3
/
ATOMIC_SPECIES
Cs 132.91 Cs.upf
Ac 227.00 Ac.upf
Hg 200.59 Hg.upf
CELL_PARAMETERS angstrom
11.5197 0.0000 0.0000
0.0000 11.5466 0.0000
0.0000 0.0000 7.9708
ATOMIC_POSITIONS crystal
Cs 0.0420 0.2305 0.0000
Cs 0.4580 0.7305 0.0000
Cs 0.5420 0.2695 0.0000
Cs 0.9580 0.7695 0.0000
Ac 0.0000 0.5000 0.5000
Ac 0.5000 0.0000 0.5000
Hg 0.0517 0.7816 0.5000
Hg 0.1467 0.0337 0.5000
Hg 0.1863 0.5335 0.1856
Hg 0.1863 0.5335 0.8144
Hg 0.1993 0.2968 0.5000
Hg 0.3007 0.7968 0.5000
Hg 0.3137 0.0335 0.1856
Hg 0.3137 0.0335 0.8144
Hg 0.3533 0.5337 0.5000
Hg 0.4483 0.2816 0.5000
Hg 0.5517 0.7184 0.5000
Hg 0.6467 0.4663 0.5000
Hg 0.6863 0.9665 0.1856
Hg 0.6863 0.9665 0.8144
Hg 0.6993 0.2032 0.5000
Hg 0.8007 0.7032 0.5000
Hg 0.8137 0.4665 0.1856
Hg 0.8137 0.4665 0.8144
Hg 0.8533 0.9663 0.5000
Hg 0.9483 0.2184 0.5000
```

Values from the calculation:
energy relative to the elements	-157	meV/atom
SG	No. 55
calculated total energy	-21.75	eV/cell

[5]
Entry from the Alexandria database: a relaxed structure of CsAcHg (GGA-PBE). Values from VASP.

Geometry as Quantum ESPRESSO input:
```
&SYSTEM
  ibrav = 0, nat = 6, ntyp = 3
/
ATOMIC_SPECIES
Cs 132.91 Cs.upf
Ac 227.00 Ac.upf
Hg 200.59 Hg.upf
CELL_PARAMETERS angstrom
4.2261 0.0000 0.0000
2.1123 7.4229 0.0000
0.0057 2.3058 8.9585
ATOMIC_POSITIONS crystal
Cs 0.1382 0.2243 0.0690
Cs 0.8618 0.7757 0.9310
Ac 0.1313 0.2363 0.5317
Ac 0.8687 0.7637 0.4683
Hg 0.4873 0.5249 0.2946
Hg 0.5127 0.4751 0.7054
```

Values from the calculation:
energy relative to the elements	-104	meV/atom
SG	No. 2
calculated total energy	-11.15	eV/cell

[6]
Entry from the Alexandria database: a relaxed structure of Cs2AcHgI6 (GGA-PBE). Values from VASP.

Geometry as Quantum ESPRESSO input:
```
&SYSTEM
  ibrav = 0, nat = 10, ntyp = 4
/
ATOMIC_SPECIES
Cs 132.91 Cs.upf
Ac 227.00 Ac.upf
Hg 200.59 Hg.upf
I 126.90 I.upf
CELL_PARAMETERS angstrom
-4.5881 4.5881 6.4570
4.5881 -4.5881 6.4570
4.5881 4.5881 -6.4570
ATOMIC_POSITIONS crystal
Cs 0.2500 0.7500 0.5000
Cs 0.7500 0.2500 0.5000
Ac 0.0000 0.0000 0.0000
Hg 0.5000 0.5000 0.0000
I 0.2496 0.2496 0.4992
I 0.2496 0.7504 0.0000
I 0.2507 0.2507 0.0000
I 0.7493 0.7493 0.0000
I 0.7504 0.2496 0.0000
I 0.7504 0.7504 0.5008
```

Values from the calculation:
SG	No. 139
calculated total energy	-27.53	eV/cell
uncorrected formation energy	-1.21	eV/atom

[7]
Entry from the Alexandria database: a relaxed structure of Cs2AcHg2O4 (GGA-PBE). Values from VASP.

Geometry as Quantum ESPRESSO input:
```
&SYSTEM
  ibrav = 0, nat = 9, ntyp = 4
/
ATOMIC_SPECIES
Cs 132.91 Cs.upf
Ac 227.00 Ac.upf
Hg 200.59 Hg.upf
O 16.00 O.upf
CELL_PARAMETERS angstrom
7.9331 -1.9151 0.0000
7.9331 1.9151 0.0000
-1.5492 0.0000 7.2177
ATOMIC_POSITIONS crystal
Cs 0.1281 0.1281 0.0684
Cs 0.8719 0.8719 0.9316
Ac 0.0000 0.0000 0.5000
Hg 0.3117 0.3117 0.4580
Hg 0.6883 0.6883 0.5420
O 0.1576 0.1576 0.6957
O 0.4491 0.4491 0.6750
O 0.5509 0.5509 0.3250
O 0.8424 0.8424 0.3043
```

Values from the calculation:
SG	No. 12
calculated total energy	-38.40	eV/cell
uncorrected formation energy	-1.35	eV/atom

[8]
Entry from the Alexandria database: a relaxed structure of Cs4Ac3HgO8 (GGA-PBE). Values from VASP.

Geometry as Quantum ESPRESSO input:
```
&SYSTEM
  ibrav = 0, nat = 16, ntyp = 4
/
ATOMIC_SPECIES
Cs 132.91 Cs.upf
Ac 227.00 Ac.upf
Hg 200.59 Hg.upf
O 16.00 O.upf
CELL_PARAMETERS angstrom
6.8848 -3.7655 0.0000
6.8848 3.7655 0.0000
-4.0779 0.0000 7.0319
ATOMIC_POSITIONS crystal
Cs 0.0000 0.0000 0.0000
Cs 0.0000 0.5000 0.0000
Cs 0.5000 0.0000 0.0000
Cs 0.5000 0.5000 0.0000
Ac 0.0000 0.0000 0.5000
Ac 0.0000 0.5000 0.5000
Ac 0.5000 0.0000 0.5000
Hg 0.5000 0.5000 0.5000
O 0.2141 0.2141 0.6729
O 0.2330 0.2330 0.2904
O 0.2398 0.7024 0.6655
O 0.2976 0.7602 0.3345
O 0.7024 0.2398 0.6655
O 0.7602 0.2976 0.3345
O 0.7670 0.7670 0.7096
O 0.7859 0.7859 0.3271
```

Values from the calculation:
SG	No. 12
calculated total energy	-87.26	eV/cell
uncorrected formation energy	-1.97	eV/atom

Result set for M_tot: 0.0000; 0.0001; 0.0000; 0.0000; 0.0000; 0.0000; 0.0000; 0.0659 μB per atom, one per record in the order listed.